The following is a PBE calculation of a relaxed structure of SiAuSe2N, from the Alexandria database.

Cell lengths 5.3080, 5.3080, 3.7689 Å; angles 90.00, 90.00, 90.00 degrees
Closest atoms and distances in Å follow each position.
Atoms (fractional coordinates):
1 Si 0.0000 0.0000 0.0000  8 Se 3.25
2 Au 0.5000 0.5000 0.5000  2 N 1.88
3 Se 0.0000 0.5000 0.5000  2 Au 2.65
4 Se 0.5000 0.0000 0.5000  2 Au 2.65
5 N 0.5000 0.5000 0.0000  2 Au 1.88

Computed properties:
Density = 6208 kg/m3
Energy relative to the elements, uncorrected = 1.177 eV/atom
Crystal system = tetragonal